Entry 1:
Computed, not measured: a relaxed NaAlCd2Ir crystal at the PBE level of DFT.

Results
Electronic total energy (Ha/atom): -0.063
Formation energy from the elements (eV/atom): 1.43
V (Å³/f.u.): 114.41

Cell lengths 4.843, 4.843, 4.878 Å; angles 90.00, 90.00, 90.00 degrees
Space group P4/mmm (No. 123)
Inequivalent atoms, fractional coordinates:
Na 0.000 0.000 0.000 (multiplicity 1)
Al 0.000 0.000 0.500 (multiplicity 1)
Cd 0.000 0.500 0.000 (multiplicity 2)
Ir 0.500 0.500 0.500 (multiplicity 1)

Entry 2:
Computed, not measured: a relaxed AlCd2NiIr crystal at the PBE level of DFT.

Results
Electronic total energy (Ha/atom): -0.120
Formation energy from the elements (eV/atom): 0.78
V (Å³/f.u.): 123.52

Cell lengths 5.201, 5.201, 4.566 Å; angles 90.00, 90.00, 90.00 degrees
Space group P4/mmm (No. 123)
Inequivalent atoms, fractional coordinates:
Al 0.000 0.000 0.000 (multiplicity 1)
Cd 0.000 0.500 0.500 (multiplicity 2)
Ni 0.500 0.500 0.000 (multiplicity 1)
Ir 0.500 0.500 0.500 (multiplicity 1)

Entry 3:
Computed, not measured: a relaxed AlCdIrRh crystal at the PBE level of DFT.

Results
Electronic total energy (Ha/atom): -0.206
Formation energy from the elements (eV/atom): -0.39
V (Å³/f.u.): 61.40

Cell lengths 6.262, 6.262, 6.262 Å; angles 90.00, 90.00, 90.00 degrees
Space group F-43m (No. 216)
Inequivalent atoms, fractional coordinates:
Al 0.000 0.000 0.000 (multiplicity 4)
Cd 0.000 0.000 0.500 (multiplicity 4)
Ir 0.250 0.250 0.750 (multiplicity 4)
Rh 0.250 0.250 0.250 (multiplicity 4)

Entry 4:
Computed, not measured: a relaxed ScAlCdIr crystal at the PBE level of DFT.

Results
Electronic total energy (Ha/atom): -0.201
Formation energy from the elements (eV/atom): -0.50
V (Å³/f.u.): 68.84

Cell lengths 6.506, 6.506, 6.506 Å; angles 90.00, 90.00, 90.00 degrees
Space group F-43m (No. 216)
Inequivalent atoms, fractional coordinates:
Sc 0.000 0.000 0.000 (multiplicity 4)
Al 0.000 0.000 0.500 (multiplicity 4)
Cd 0.250 0.250 0.250 (multiplicity 4)
Ir 0.250 0.250 0.750 (multiplicity 4)

Entry 5:
Computed, not measured: a relaxed AlCd2TeIr crystal at the PBE level of DFT.

Results
Electronic total energy (Ha/atom): -0.094
V (Å³/f.u.): 154.04
ΔE_f (raw) (eV/atom): 0.970

Cell lengths 5.612, 5.612, 4.891 Å; angles 90.00, 90.00, 90.00 degrees
Space group P4/mmm (No. 123)
Inequivalent atoms, fractional coordinates:
Al 0.000 0.000 0.000 (multiplicity 1)
Cd 0.000 0.500 0.500 (multiplicity 2)
Te 0.500 0.500 0.500 (multiplicity 1)
Ir 0.500 0.500 0.000 (multiplicity 1)

Entry 6:
Computed, not measured: a relaxed KAlCd2 crystal at the PBE level of DFT.

Results
Electronic total energy (Ha/atom): -0.057
Formation energy from the elements (eV/atom): 0.11
V (Å³/f.u.): 109.33

Cell lengths 3.047, 4.447, 8.069 Å; angles 90.00, 90.68, 90.00 degrees
Space group Pm (No. 6)
Inequivalent atoms, fractional coordinates:
K 0.000 0.000 0.000 (multiplicity 1)
Al 0.501 0.500 0.689 (multiplicity 1)
Cd 0.500 0.500 0.313 (multiplicity 1)
Cd 0.999 0.000 0.529 (multiplicity 1)

Entry 7:
Computed, not measured: a relaxed KAl2Cd crystal at the PBE level of DFT.

Results
Electronic total energy (Ha/atom): -0.079
Formation energy from the elements (eV/atom): 0.23
V (Å³/f.u.): 96.47

Cell lengths 3.155, 3.155, 9.690 Å; angles 90.00, 90.00, 90.00 degrees
Space group P4/mmm (No. 123)
Inequivalent atoms, fractional coordinates:
K 0.000 0.000 0.000 (multiplicity 1)
Al 0.500 0.500 0.290 (multiplicity 2)
Cd 0.000 0.000 0.500 (multiplicity 1)

Entry 8:
Computed, not measured: a relaxed KAlCd4 crystal at the PBE level of DFT.

Results
Electronic total energy (Ha/atom): -0.048
Formation energy from the elements (eV/atom): 0.12
V (Å³/f.u.): 158.31

Cell lengths 8.587, 8.587, 8.587 Å; angles 90.00, 90.00, 90.00 degrees
Space group F-43m (No. 216)
Inequivalent atoms, fractional coordinates:
K 0.000 0.000 0.000 (multiplicity 4)
Al 0.250 0.250 0.750 (multiplicity 4)
Cd 0.125 0.125 0.375 (multiplicity 16)

Entry 9:
Computed, not measured: a relaxed KAlCd crystal at the PBE level of DFT.

Results
Electronic total energy (Ha/atom): -0.065
Relative energy among the computed polymorphs (eV per atom): 0.000
Formation energy from the elements (eV/atom): 0.15
V (Å³/f.u.): 91.11

Cell lengths 3.780, 3.780, 12.750 Å; angles 90.00, 90.00, 90.00 degrees
Space group I4mm (No. 107)
Inequivalent atoms, fractional coordinates:
K 0.000 0.000 0.000 (multiplicity 2)
Al 0.000 0.000 0.295 (multiplicity 2)
Cd 0.000 0.000 0.712 (multiplicity 2)

Entry 10:
Computed, not measured: a relaxed KAl2Cd2 crystal at the PBE level of DFT.

Results
Electronic total energy (Ha/atom): -0.073
Relative energy among the computed polymorphs (eV per atom): 0.033
Formation energy from the elements (eV/atom): 0.11
V (Å³/f.u.): 119.32

Cell lengths 8.942, 8.942, 2.985 Å; angles 90.00, 90.00, 90.00 degrees
Space group P4/mbm (No. 127)
Inequivalent atoms, fractional coordinates:
K 0.000 0.000 0.000 (multiplicity 2)
Al 0.132 0.368 0.000 (multiplicity 4)
Cd 0.158 0.658 0.500 (multiplicity 4)

Entry 11:
Computed, not measured: a relaxed KAl2Cd crystal at the PBE level of DFT.

Results
Electronic total energy (Ha/atom): -0.076
Formation energy from the elements (eV/atom): 0.31
V (Å³/f.u.): 96.06

Cell lengths 3.2352, 3.2352, 31.7935 Å; angles 90.00, 90.00, 120.00 degrees
Space group R-3m (No. 166, hexagonal axes)
Inequivalent atoms, fractional coordinates:
K 0.0000 0.0000 0.0000 (multiplicity 3)
Al 0.0000 0.0000 0.2403 (multiplicity 6)
Cd 0.0000 0.0000 0.5000 (multiplicity 3)

Entry 12:
Computed, not measured: a relaxed KAl2Cd2 crystal at the PBE level of DFT.

Results
Electronic total energy (Ha/atom): -0.074
Relative energy among the computed polymorphs (eV per atom): 0.000
Formation energy from the elements (eV/atom): 0.08
V (Å³/f.u.): 128.00

Cell lengths 4.469, 4.469, 12.817 Å; angles 90.00, 90.00, 90.00 degrees
Space group I4/mmm (No. 139)
Inequivalent atoms, fractional coordinates:
K 0.000 0.000 0.000 (multiplicity 2)
Al 0.000 0.500 0.250 (multiplicity 4)
Cd 0.000 0.000 0.386 (multiplicity 4)

Entry 13:
Computed, not measured: a relaxed KAl2Cd crystal at the PBE level of DFT.

Results
Electronic total energy (Ha/atom): -0.074
Formation energy from the elements (eV/atom): 0.37
V (Å³/f.u.): 99.09

Cell lengths 6.286, 10.786, 2.923 Å; angles 90.00, 90.00, 90.00 degrees
Space group Cmmm (No. 65)
Inequivalent atoms, fractional coordinates:
K 0.000 0.000 0.000 (multiplicity 2)
Al 0.250 0.250 0.500 (multiplicity 4)
Cd 0.000 0.500 0.000 (multiplicity 2)

Entry 14:
Computed, not measured: a relaxed KAlCd crystal at the PBE level of DFT.

Results
Electronic total energy (Ha/atom): -0.056
Relative energy among the computed polymorphs (eV per atom): 0.234
Formation energy from the elements (eV/atom): 0.38
V (Å³/f.u.): 101.24

Cell lengths 7.398, 7.398, 7.398 Å; angles 90.00, 90.00, 90.00 degrees
Space group F-43m (No. 216)
Inequivalent atoms, fractional coordinates:
K 0.000 0.000 0.000 (multiplicity 4)
Al 0.000 0.000 0.500 (multiplicity 4)
Cd 0.250 0.250 0.750 (multiplicity 4)

Entry 15:
Computed, not measured: a relaxed KAl3Cd crystal at the PBE level of DFT.

Results
Electronic total energy (Ha/atom): -0.043
Relative energy among the computed polymorphs (eV per atom): 0.890
Formation energy from the elements (eV/atom): 1.47
V (Å³/f.u.): 198.17

Cell lengths 5.830, 5.830, 5.830 Å; angles 90.00, 90.00, 90.00 degrees
Space group Pm-3m (No. 221)
Inequivalent atoms, fractional coordinates:
K 0.000 0.000 0.000 (multiplicity 1)
Al 0.000 0.000 0.500 (multiplicity 3)
Cd 0.500 0.500 0.500 (multiplicity 1)

Entry 16:
Computed, not measured: a relaxed K2AlCd2 crystal at the PBE level of DFT.

Results
Electronic total energy (Ha/atom): -0.054
Formation energy from the elements (eV/atom): 0.08
V (Å³/f.u.): 164.27

Cell lengths 7.488, 7.488, 5.860 Å; angles 90.00, 90.00, 90.00 degrees
Space group P4/mbm (No. 127)
Inequivalent atoms, fractional coordinates:
K 0.178 0.322 0.000 (multiplicity 4)
Al 0.000 0.000 0.500 (multiplicity 2)
Cd 0.144 0.644 0.500 (multiplicity 4)

Entry 17:
Computed, not measured: a relaxed KAlCd crystal at the PBE level of DFT.

Results
Electronic total energy (Ha/atom): -0.045
Relative energy among the computed polymorphs (eV per atom): 0.550
Formation energy from the elements (eV/atom): 0.70
V (Å³/f.u.): 116.12

Cell lengths 7.744, 7.744, 7.744 Å; angles 90.00, 90.00, 90.00 degrees
Space group F-43m (No. 216)
Inequivalent atoms, fractional coordinates:
K 0.000 0.000 0.000 (multiplicity 4)
Al 0.250 0.250 0.750 (multiplicity 4)
Cd 0.250 0.250 0.250 (multiplicity 4)

Entry 18:
Computed, not measured: a relaxed KAl2Cd crystal at the PBE level of DFT.

Results
Electronic total energy (Ha/atom): -0.076
Formation energy from the elements (eV/atom): 0.31
V (Å³/f.u.): 101.33

Cell lengths 3.175, 5.707, 11.184 Å; angles 90.00, 90.00, 90.00 degrees
Space group Immm (No. 71)
Inequivalent atoms, fractional coordinates:
K 0.000 0.000 0.000 (multiplicity 2)
Al 0.000 0.500 0.220 (multiplicity 4)
Cd 0.000 0.000 0.500 (multiplicity 2)

Entry 19:
Computed, not measured: a relaxed KAlCd2 crystal at the PBE level of DFT.

Results
Electronic total energy (Ha/atom): -0.057
Formation energy from the elements (eV/atom): 0.12
V (Å³/f.u.): 113.21

Cell lengths 9.194, 3.207, 7.721 Å; angles 90.00, 95.96, 90.00 degrees
Space group C2/m (No. 12)
Inequivalent atoms, fractional coordinates:
K 0.000 0.000 0.000 (multiplicity 2)
Al 0.000 0.500 0.500 (multiplicity 2)
Cd 0.239 0.000 0.678 (multiplicity 4)

Entry 20:
Computed, not measured: a relaxed KAl2Cd crystal at the PBE level of DFT.

Results
Electronic total energy (Ha/atom): -0.083
Formation energy from the elements (eV/atom): 0.13
V (Å³/f.u.): 103.00

Cell lengths 3.057, 4.154, 8.111 Å; angles 90.00, 90.47, 90.00 degrees
Space group Pm (No. 6)
Inequivalent atoms, fractional coordinates:
K 0.000 0.000 0.000 (multiplicity 1)
Al 0.004 0.000 0.455 (multiplicity 1)
Al 0.503 0.500 0.319 (multiplicity 1)
Cd 0.495 0.500 0.677 (multiplicity 1)

Entry 21:
Computed, not measured: a relaxed KAl2Cd crystal at the PBE level of DFT.

Results
Electronic total energy (Ha/atom): -0.076
Formation energy from the elements (eV/atom): 0.30
V (Å³/f.u.): 95.46

Cell lengths 7.199, 7.286, 5.112 Å; angles 90.00, 134.59, 90.00 degrees
Space group C2 (No. 5)
Inequivalent atoms, fractional coordinates:
K 0.000 0.000 0.000 (multiplicity 2)
Al 0.000 0.250 0.500 (multiplicity 2)
Al 0.000 0.499 0.000 (multiplicity 2)
Cd 0.000 0.750 0.500 (multiplicity 2)

Entry 22:
Computed, not measured: a relaxed KAlCd2 crystal at the PBE level of DFT.

Results
Electronic total energy (Ha/atom): -0.058
Formation energy from the elements (eV/atom): 0.09
V (Å³/f.u.): 107.20

Cell lengths 3.036, 4.219, 8.369 Å; angles 90.00, 90.11, 90.00 degrees
Space group P2/m (No. 10)
Inequivalent atoms, fractional coordinates:
K 0.000 0.000 0.000 (multiplicity 1)
Al 0.000 0.000 0.500 (multiplicity 1)
Cd 0.498 0.500 0.308 (multiplicity 2)

Entry 23:
Computed, not measured: a relaxed KAl2Cd crystal at the PBE level of DFT.

Results
Electronic total energy (Ha/atom): -0.073
Formation energy from the elements (eV/atom): 0.39
V (Å³/f.u.): 100.82

Cell lengths 4.333, 4.674, 4.978 Å; angles 90.00, 90.00, 90.00 degrees
Space group Pmmm (No. 47)
Inequivalent atoms, fractional coordinates:
K 0.000 0.000 0.000 (multiplicity 1)
Al 0.000 0.500 0.500 (multiplicity 1)
Al 0.500 0.000 0.500 (multiplicity 1)
Cd 0.500 0.500 0.000 (multiplicity 1)

Entry 24:
Computed, not measured: a relaxed KAlCd2 crystal at the PBE level of DFT.

Results
Electronic total energy (Ha/atom): -0.053
Formation energy from the elements (eV/atom): 0.23
V (Å³/f.u.): 102.88

Cell lengths 3.2870, 3.2870, 32.9860 Å; angles 90.00, 90.00, 120.00 degrees
Space group R3m (No. 160, hexagonal axes)
Inequivalent atoms, fractional coordinates:
K 0.0000 0.0000 0.0000 (multiplicity 3)
Al 0.0000 0.0000 0.2435 (multiplicity 3)
Cd 0.0000 0.0000 0.5077 (multiplicity 3)
Cd 0.0000 0.0000 0.7593 (multiplicity 3)

Entry 25:
Computed, not measured: a relaxed KAlCd2 crystal at the PBE level of DFT.

Results
Electronic total energy (Ha/atom): -0.056
Formation energy from the elements (eV/atom): 0.14
V (Å³/f.u.): 113.80

Cell lengths 3.683, 3.683, 8.388 Å; angles 90.00, 90.00, 90.00 degrees
Space group P4mm (No. 99)
Inequivalent atoms, fractional coordinates:
K 0.000 0.000 0.000 (multiplicity 1)
Al 0.500 0.500 0.310 (multiplicity 1)
Cd 0.000 0.000 0.468 (multiplicity 1)
Cd 0.500 0.500 0.684 (multiplicity 1)

Entry 26:
Computed, not measured: a relaxed KAlCd2 crystal at the PBE level of DFT.

Results
Electronic total energy (Ha/atom): -0.053
Formation energy from the elements (eV/atom): 0.24
V (Å³/f.u.): 109.79

Cell lengths 4.968, 4.968, 4.448 Å; angles 90.00, 90.00, 90.00 degrees
Space group P4/mmm (No. 123)
Inequivalent atoms, fractional coordinates:
K 0.000 0.000 0.000 (multiplicity 1)
Al 0.500 0.500 0.000 (multiplicity 1)
Cd 0.000 0.500 0.500 (multiplicity 2)

Entry 27:
Computed, not measured: a relaxed KAlCd2 crystal at the PBE level of DFT.

Results
Electronic total energy (Ha/atom): -0.053
Formation energy from the elements (eV/atom): 0.22
V (Å³/f.u.): 100.36

Cell lengths 3.2419, 3.2419, 33.0807 Å; angles 90.00, 90.00, 120.00 degrees
Space group R-3m (No. 166, hexagonal axes)
Inequivalent atoms, fractional coordinates:
K 0.0000 0.0000 0.0000 (multiplicity 3)
Al 0.0000 0.0000 0.5000 (multiplicity 3)
Cd 0.0000 0.0000 0.2407 (multiplicity 6)

Entry 28:
Computed, not measured: a relaxed KAlCd3 crystal at the PBE level of DFT.

Results
Electronic total energy (Ha/atom): -0.023
Relative energy among the computed polymorphs (eV per atom): 0.781
Formation energy from the elements (eV/atom): 0.89
V (Å³/f.u.): 230.76

Cell lengths 6.134, 6.134, 6.134 Å; angles 90.00, 90.00, 90.00 degrees
Space group Pm-3m (No. 221)
Inequivalent atoms, fractional coordinates:
K 0.000 0.000 0.000 (multiplicity 1)
Al 0.500 0.500 0.500 (multiplicity 1)
Cd 0.000 0.000 0.500 (multiplicity 3)

Entry 29:
Computed, not measured: a relaxed KAl3Cd crystal at the PBE level of DFT.

Results
Electronic total energy (Ha/atom): -0.076
Relative energy among the computed polymorphs (eV per atom): 0.000
Formation energy from the elements (eV/atom): 0.58
V (Å³/f.u.): 151.48

Cell lengths 5.331, 5.331, 5.331 Å; angles 90.00, 90.00, 90.00 degrees
Space group Pm-3m (No. 221)
Inequivalent atoms, fractional coordinates:
K 0.000 0.000 0.000 (multiplicity 1)
Al 0.000 0.500 0.500 (multiplicity 3)
Cd 0.500 0.500 0.500 (multiplicity 1)

Entry 30:
Computed, not measured: a relaxed KAlCd2 crystal at the PBE level of DFT.

Results
Electronic total energy (Ha/atom): -0.057
Formation energy from the elements (eV/atom): 0.12
V (Å³/f.u.): 104.56

Cell lengths 3.284, 3.284, 9.696 Å; angles 90.00, 90.00, 90.00 degrees
Space group P4/mmm (No. 123)
Inequivalent atoms, fractional coordinates:
K 0.000 0.000 0.000 (multiplicity 1)
Al 0.000 0.000 0.500 (multiplicity 1)
Cd 0.500 0.500 0.291 (multiplicity 2)